No. 1
Material: Pr2AgP2N6
Method: DFT, PBE
State: relaxed

Its raw total energy is -7.190 eV/atom. As for the symmetry: P-1 (2).

Cell: 6.770 5.250 5.992 Å, 111.93 79.50 63.51°
Element x y z (fractional)
P: 0.249 0.757 0.781
N: 0.225 0.880 0.577
N: 0.833 0.493 0.243
N: 0.346 0.854 0.997
Pr: 0.203 0.509 0.187
N: 0.167 0.507 0.757
N: 0.775 0.120 0.423
Ag: 0.500 0.000 0.500
Pr: 0.797 0.491 0.813
P: 0.751 0.243 0.219
N: 0.654 0.146 0.003

---

No. 2
Material: RbAgPN2
Method: DFT, PBE
State: relaxed

Its raw total energy is -3.169 eV/atom. As for the symmetry: P4/mmm (123).

Cell: 4.382 7.178 4.382 Å, 90.00 90.00 90.00°
Element x y z (fractional)
N: 0.000 0.000 0.500
Rb: 0.000 0.500 0.000
Ag: 0.000 0.000 0.000
P: 0.500 0.500 0.500
N: 0.500 0.000 0.000

---

No. 3
Material: Ag2PRuN
Method: DFT, PBE
State: relaxed

Its raw total energy is -4.099 eV/atom. As for the symmetry: P4/mmm (123).

Cell: 5.272 4.349 5.272 Å, 90.00 90.00 90.00°
Element x y z (fractional)
Ag: 0.000 0.000 0.500
N: 0.500 0.500 0.500
Ru: 0.000 0.000 0.000
P: 0.000 0.500 0.000
Ag: 0.500 0.000 0.000

---

No. 4
Material: AgP2SN
Method: DFT, PBE
State: relaxed

For the energy above the most stable polymorph in this dataset, the calculation gives 1316 meV per atom. As for the symmetry: P4/mmm (123).

Cell: 4.793 4.793 4.776 Å, 90.00 90.00 90.00°
Element x y z (fractional)
S: 0.000 0.000 0.500
P: 0.000 0.500 0.000
P: 0.500 0.000 0.000
Ag: 0.000 0.000 0.000
N: 0.500 0.500 0.500

---

No. 5
Material: AgP2SN
Method: DFT, PBE
State: relaxed

For the energy above the most stable polymorph in this dataset, the calculation gives 0 meV per atom. As for the symmetry: P4/mmm (123).

Cell: 4.105 4.105 4.354 Å, 90.00 90.00 90.00°
Element x y z (fractional)
Ag: 0.500 0.500 0.500
P: 0.500 0.000 0.000
N: 0.000 0.000 0.000
S: 0.000 0.000 0.500
P: 0.000 0.500 0.000

---

No. 6
Material: AgPSN2
Method: DFT, PBE
State: relaxed

For the energy above the most stable polymorph in this dataset, the calculation gives 0 meV per atom. As for the symmetry: P4/mmm (123).

Cell: 3.390 3.390 6.069 Å, 90.00 90.00 90.00°
Element x y z (fractional)
N: 0.500 0.000 0.000
P: 0.000 0.000 0.000
N: 0.000 0.500 0.000
Ag: 0.500 0.500 0.500
S: 0.000 0.000 0.500

---

No. 7
Material: AgPSN2
Method: DFT, PBE
State: relaxed

For the energy above the most stable polymorph in this dataset, the calculation gives 1349 meV per atom. As for the symmetry: P4/mmm (123).

Cell: 4.025 4.025 5.389 Å, 90.00 90.00 90.00°
Element x y z (fractional)
Ag: 0.000 0.000 0.000
S: 0.000 0.000 0.500
N: 0.500 0.000 0.000
N: 0.000 0.500 0.000
P: 0.500 0.500 0.500

---

No. 8
Material: AgPSe2N
Method: DFT, PBE
State: relaxed

For the energy above the most stable polymorph in this dataset, the calculation gives 0 meV per atom. As for the symmetry: P4/mmm (123).

Cell: 5.191 5.191 3.202 Å, 90.00 90.00 90.00°
Element x y z (fractional)
P: 0.000 0.000 0.000
Ag: 0.500 0.500 0.500
N: 0.000 0.000 0.500
Se: 0.000 0.500 0.000
Se: 0.500 0.000 0.000

---

No. 9
Material: AgPSe2N
Method: DFT, PBE
State: relaxed

For the energy above the most stable polymorph in this dataset, the calculation gives 979 meV per atom. As for the symmetry: P4/mmm (123).

Cell: 5.159 5.159 3.939 Å, 90.00 90.00 90.00°
Element x y z (fractional)
Ag: 0.000 0.000 0.000
Se: 0.000 0.500 0.000
P: 0.500 0.500 0.500
N: 0.000 0.000 0.500
Se: 0.500 0.000 0.000

---

No. 10
Material: TcAgPN2
Method: DFT, PBE
State: relaxed

Its raw total energy is -4.758 eV/atom. As for the symmetry: P4/mmm (123).

Cell: 3.851 5.886 3.851 Å, 90.00 90.00 90.00°
Element x y z (fractional)
Tc: 0.000 0.500 0.000
N: 0.500 0.000 0.000
Ag: 0.000 0.000 0.000
P: 0.500 0.500 0.500
N: 0.000 0.000 0.500

---

No. 11
Material: AgTe2PN
Method: DFT, PBE
State: relaxed

For the energy above the most stable polymorph in this dataset, the calculation gives 0 meV per atom. As for the symmetry: P4/mmm (123).

Cell: 5.713 5.713 3.220 Å, 90.00 90.00 90.00°
Element x y z (fractional)
Ag: 0.500 0.500 0.500
Te: 0.000 0.500 0.000
P: 0.000 0.000 0.000
N: 0.000 0.000 0.500
Te: 0.500 0.000 0.000

---

No. 12
Material: AgTe2PN
Method: DFT, PBE
State: relaxed

For the energy above the most stable polymorph in this dataset, the calculation gives 904 meV per atom. As for the symmetry: P4/mmm (123).

Cell: 5.515 5.515 3.926 Å, 90.00 90.00 90.00°
Element x y z (fractional)
Te: 0.000 0.500 0.000
Te: 0.500 0.000 0.000
P: 0.500 0.500 0.500
N: 0.000 0.000 0.500
Ag: 0.000 0.000 0.000

---

No. 13
Material: Pa2AgN
Method: DFT, PBE
State: relaxed

For the energy above the most stable polymorph in this dataset, the calculation gives 375 meV per atom. As for the symmetry: P4/mmm (123).

Cell: 3.038 3.038 7.769 Å, 90.00 90.00 90.00°
Element x y z (fractional)
N: 0.500 0.500 0.000
Pa: 0.000 0.000 0.808
Pa: 0.000 0.000 0.192
Ag: 0.500 0.500 0.500

---

No. 14
Material: Pa2AgN
Method: DFT, PBE
State: relaxed

For the energy above the most stable polymorph in this dataset, the calculation gives 0 meV per atom. As for the symmetry: R-3m (166).

Cell: 3.269 3.269 8.609 Å, 79.05 79.05 60.00°
Element x y z (fractional)
Pa: 0.773 0.773 0.680
Ag: 0.000 0.000 0.000
N: 0.500 0.500 0.500
Pa: 0.227 0.227 0.320